BaMnCoF2 after structural relaxation. Source: Alexandria, functional GGA+U.

```
data_BaMnCoF2
_chemical_formula_sum 'Ba1 Mn1 Co1 F2'
_symmetry_space_group_name_H-M 'P 4/m m m'
_symmetry_Int_Tables_number 123
_symmetry_space_group_name_Hall '-P 4 2'
_cell_length_a 4.8221
_cell_length_b 4.8221
_cell_length_c 8.4766
_cell_angle_alpha 90.00
_cell_angle_beta 90.00
_cell_angle_gamma 90.00
loop_
_atom_site_label
_atom_site_type_symbol
_atom_site_fract_x
_atom_site_fract_y
_atom_site_fract_z
Ba1 Ba 0.0000 0.0000 0.0000
Mn1 Mn 0.0000 0.0000 0.5000
Co1 Co 0.5000 0.5000 0.5000
F1 F 0.0000 0.5000 0.0000
```

Properties
crystal system	tetragonal
VASP energy	-23.38	eV for the cell shown
total magnetic moment	7.4	μB per cell